Record 1
The following is a DFT calculation (GGA-PBE) of a relaxed BaDyAgTe3 crystal.

Cell: 4.5195 9.2597 10.1696 Å, 105.35 90.00 90.00°
Closest atoms and distances in Å follow each position.
Atoms (fractional coordinates):
Dy (0.2500, 0.6775, 0.1604)  6 Te 3.07-3.13
Te (0.2500, 0.1040, 0.8725)  1 Ag 2.85, 2 Dy 3.11
Ba (0.2500, 0.1982, 0.2506)  7 Te 3.52-3.71, 1 Ag 3.85
Te (0.7500, 0.2480, 0.5271)  3 Ag 2.89-2.96, 1 Dy 3.07
Te (0.2500, 0.5543, 0.8431)  3 Dy 3.11-3.13
Te (0.7500, 0.8960, 0.1275)  1 Ag 2.85, 2 Dy 3.11
Te (0.2500, 0.7520, 0.4729)  3 Ag 2.89-2.96, 1 Dy 3.07
Ag (0.7500, 0.9189, 0.4130)  4 Te 2.85-2.96, 2 Ag 3.01
Te (0.7500, 0.4457, 0.1569)  3 Dy 3.11-3.13
Ba (0.7500, 0.8018, 0.7494)  7 Te 3.52-3.71, 1 Ag 3.85
Dy (0.7500, 0.3225, 0.8396)  6 Te 3.07-3.13
Ag (0.2500, 0.0811, 0.5870)  4 Te 2.85-2.96, 2 Ag 3.01

density: 6.4 g cm⁻³
E_form (uncorrected): -1.253 eV per atom
volume: 34.20 Å³/atom

=====

Record 2
The following is a DFT calculation (GGA-PBE) of a relaxed BaDyTlAg crystal.

Cell: 5.5985 5.5985 5.5985 Å, 60.00 60.00 60.00°
Closest atoms and distances in Å follow each position.
Atoms (fractional coordinates):
Ag (0.2500, 0.2500, 0.2500)  4 Ba 3.43, 4 Dy 3.43
Tl (0.7500, 0.7500, 0.7500)  4 Ba 3.43, 4 Dy 3.43
Ba (0.5000, 0.5000, 0.5000)  4 Tl 3.43, 4 Ag 3.43
Dy (0.0000, 0.0000, 0.0000)  4 Ag 3.43, 4 Tl 3.43

formation energy: -176.7 meV per atom
density: 8.2 g cm⁻³
volume: 31.02 Å³/atom

=====

Record 3
The following is a DFT calculation (GGA-PBE) of a relaxed BaEr2Ag crystal.

Cell: 3.7008 3.7008 9.5954 Å, 90.00 90.00 90.00°
Closest atoms and distances in Å follow each position.
Atoms (fractional coordinates):
Ba (0.5000, 0.5000, 0.5000)  4 Ba 3.70, 8 Er 4.06
Er (0.0000, 0.0000, 0.8242)  4 Ag 3.11, 1 Er 3.37
Ag (0.5000, 0.5000, 0.0000)  8 Er 3.11
Er (0.0000, 0.0000, 0.1758)  4 Ag 3.11, 1 Er 3.37

formation energy: 15.7 meV per atom
density: 7.3 g cm⁻³
volume: 32.86 Å³/atom

=====

Record 4
The following is a DFT calculation (GGA-PBE) of a relaxed BaErAg2F8 crystal.

Cell: 6.6157 6.6157 7.3521 Å, 90.00 90.00 120.00°
Closest atoms and distances in Å follow each position.
Atoms (fractional coordinates):
F (0.3333, 0.6667, 0.4414)  1 Ag 2.10
Ba (0.0000, 0.0000, 0.5000)  6 F 2.74
F (0.1395, 0.2790, 0.8022)  1 Er 2.16, 1 Ag 2.29
F (0.6667, 0.3333, 0.5586)  1 Ag 2.10
F (0.8605, 0.1395, 0.1978)  1 Er 2.16, 1 Ag 2.29
F (0.7210, 0.8605, 0.8022)  1 Er 2.16, 1 Ag 2.29
Ag (0.3333, 0.6667, 0.7274)  4 F 2.10-2.29
F (0.1395, 0.8605, 0.8022)  1 Er 2.16, 1 Ag 2.29
Ag (0.6667, 0.3333, 0.2726)  4 F 2.10-2.29
Er (0.0000, 0.0000, 0.0000)  6 F 2.16
F (0.8605, 0.7210, 0.1978)  1 Er 2.16, 1 Ag 2.29
F (0.2790, 0.1395, 0.1978)  1 Er 2.16, 1 Ag 2.29

density: 4.0 g cm⁻³
E_form (uncorrected): -2.600 eV per atom
volume: 23.22 Å³/atom

=====

Record 5
The following is a DFT calculation (GGA-PBE) of a relaxed BaErAgF6 crystal.

Cell: 6.1008 6.1008 11.1248 Å, 90.00 90.00 120.00°
Closest atoms and distances in Å follow each position.
Atoms (fractional coordinates):
F (0.6721, 0.6299, 0.1397)  1 Er 2.17
F (0.0422, 0.3701, 0.6397)  1 Er 2.17
F (0.3279, 0.3701, 0.8603)  1 Er 2.17
Er (0.3333, 0.6667, 0.7500)  6 F 2.17
Er (0.6667, 0.3333, 0.2500)  6 F 2.17
F (0.9578, 0.3279, 0.1397)  1 Er 2.17
Ag (0.6667, 0.3333, 0.7500)  6 F 2.51
F (0.3701, 0.3279, 0.3603)  1 Er 2.17
F (0.6721, 0.0422, 0.3603)  1 Er 2.17
Ba (0.0000, 0.0000, 0.5000)  6 F 2.65
F (0.0422, 0.6721, 0.8603)  1 Er 2.17
F (0.9578, 0.6299, 0.3603)  1 Er 2.17
F (0.6299, 0.9578, 0.8603)  1 Er 2.17
F (0.3279, 0.9578, 0.6397)  1 Er 2.17
F (0.3701, 0.0422, 0.1397)  1 Er 2.17
Ba (0.0000, 0.0000, 0.0000)  6 F 2.65
Ag (0.3333, 0.6667, 0.2500)  6 F 2.51
F (0.6299, 0.6721, 0.6397)  1 Er 2.17

density: 4.9 g cm⁻³
E_form (uncorrected): -3.328 eV per atom
volume: 19.92 Å³/atom

=====

Record 6
The following is a DFT calculation (GGA-PBE) of a relaxed Ba2ErAg3Hg12 crystal.

Cell: 12.1080 12.1080 12.1080 Å, 35.08 35.08 35.08°
Closest atoms and distances in Å follow each position.
Atoms (fractional coordinates):
Ag (0.0000, 0.0000, 0.5000)  4 Hg 2.82
Hg (0.5959, 0.1108, 0.1108)  1 Er 3.00, 2 Hg 3.03
Hg (0.1771, 0.5903, 0.5903)  2 Ag 2.82, 4 Hg 3.02-3.03
Ba (0.3602, 0.3602, 0.3602)  12 Hg 3.59-3.83
Hg (0.8229, 0.4097, 0.4097)  2 Ag 2.82, 4 Hg 3.02-3.03
Hg (0.1108, 0.1108, 0.5959)  1 Er 3.00, 2 Hg 3.03
Hg (0.1108, 0.5959, 0.1108)  1 Er 3.00, 2 Hg 3.03
Er (0.0000, 0.0000, 0.0000)  6 Hg 3.00
Hg (0.5903, 0.5903, 0.1771)  2 Ag 2.82, 4 Hg 3.02-3.03
Hg (0.8892, 0.8892, 0.4041)  1 Er 3.00, 2 Hg 3.03
Hg (0.4097, 0.4097, 0.8229)  2 Ag 2.82, 4 Hg 3.02-3.03
Hg (0.4041, 0.8892, 0.8892)  1 Er 3.00, 2 Hg 3.03
Hg (0.4097, 0.8229, 0.4097)  2 Ag 2.82, 4 Hg 3.02-3.03
Hg (0.5903, 0.1771, 0.5903)  2 Ag 2.82, 4 Hg 3.02-3.03
Hg (0.8892, 0.4041, 0.8892)  1 Er 3.00, 2 Hg 3.03
Ag (0.5000, 0.0000, 0.0000)  4 Hg 2.82
Ba (0.6398, 0.6398, 0.6398)  12 Hg 3.59-3.83
Ag (0.0000, 0.5000, 0.0000)  4 Hg 2.82

formation energy: -105.6 meV per atom
density: 10.1 g cm⁻³
volume: 29.09 Å³/atom

=====

Please write out number 1 again, unchanged.
The following is a DFT calculation (GGA-PBE) of a relaxed BaDyAgTe3 crystal.

Cell: 4.5195 9.2597 10.1696 Å, 105.35 90.00 90.00°
Closest atoms and distances in Å follow each position.
Atoms (fractional coordinates):
Dy (0.2500, 0.6775, 0.1604)  6 Te 3.07-3.13
Te (0.2500, 0.1040, 0.8725)  1 Ag 2.85, 2 Dy 3.11
Ba (0.2500, 0.1982, 0.2506)  7 Te 3.52-3.71, 1 Ag 3.85
Te (0.7500, 0.2480, 0.5271)  3 Ag 2.89-2.96, 1 Dy 3.07
Te (0.2500, 0.5543, 0.8431)  3 Dy 3.11-3.13
Te (0.7500, 0.8960, 0.1275)  1 Ag 2.85, 2 Dy 3.11
Te (0.2500, 0.7520, 0.4729)  3 Ag 2.89-2.96, 1 Dy 3.07
Ag (0.7500, 0.9189, 0.4130)  4 Te 2.85-2.96, 2 Ag 3.01
Te (0.7500, 0.4457, 0.1569)  3 Dy 3.11-3.13
Ba (0.7500, 0.8018, 0.7494)  7 Te 3.52-3.71, 1 Ag 3.85
Dy (0.7500, 0.3225, 0.8396)  6 Te 3.07-3.13
Ag (0.2500, 0.0811, 0.5870)  4 Te 2.85-2.96, 2 Ag 3.01

density: 6.4 g cm⁻³
E_form (uncorrected): -1.253 eV per atom
volume: 34.20 Å³/atom

=====

Question: What is the volume in the sixth record?
Answer: 29.09 Å³/atom

=====

Question: Which value of volume does entry 4 give?
Answer: 23.22 Å³/atom